Run A
CsSi3O | PBE | relaxed

Cell and atoms, written as extended XYZ:
```
5
Lattice="5.720 0.000 0.000 0.000 5.720 0.000 0.000 0.000 5.720" Properties=species:S:1:pos:R:3 pbc="T T T"
Cs 0.000 0.000 0.000
Si 0.000 0.000 2.860
Si 0.000 2.860 0.000
Si 2.860 0.000 0.000
O 2.860 2.860 2.860
```

Its space group is No. 221. As for the crystal system: cubic.

=====

Run B
CsSi3O | PBE | relaxed

Cell and atoms, written as extended XYZ:
```
5
Lattice="4.713 0.000 0.000 0.000 4.713 0.000 0.000 0.000 4.713" Properties=species:S:1:pos:R:3 pbc="T T T"
Cs 0.000 0.000 0.000
Si 0.000 2.356 2.356
Si 2.356 0.000 2.356
Si 2.356 2.356 0.000
O 2.356 2.356 2.356
```

Its space group is No. 221. As for the crystal system: cubic.

=====

The structure with the least stability is run A.

=====

Run A
Cs4SnO4 | PBE | relaxed

Cell and atoms, written as extended XYZ:
```
9
Lattice="-4.596 4.596 3.000 4.596 -4.596 3.000 4.596 4.596 -3.000" Properties=species:S:1:pos:R:3 pbc="T T T"
Cs 6.399 1.097 0.000
Cs 1.097 2.793 0.000
Cs 3.499 1.803 3.000
Cs -1.803 3.499 3.000
Sn 0.000 0.000 3.000
O 3.988 2.644 0.000
O 1.952 -0.608 3.000
O 2.644 5.204 0.000
O 0.608 1.952 3.000
```

Its space group is No. 87. As for the crystal system: tetragonal.

=====

Run B
Cs4SnO4 | PBE | relaxed

Cell and atoms, written as extended XYZ:
```
36
Lattice="11.908 0.000 0.000 0.000 7.469 0.000 -4.275 0.000 11.110" Properties=species:S:1:pos:R:3 pbc="T T T"
Cs -0.156 0.683 2.153
Cs -2.294 3.051 7.708
Cs 1.463 4.566 1.023
Cs -0.674 6.638 6.578
Cs 0.529 4.886 9.904
Cs 2.666 6.318 4.349
Cs 1.699 1.300 8.855
Cs 3.836 2.435 3.300
Cs 3.797 5.035 7.811
Cs 5.934 6.169 2.255
Cs 4.967 1.151 6.762
Cs 7.104 2.583 1.207
Cs 8.307 0.832 4.533
Cs 6.170 2.903 10.088
Cs 9.926 4.418 3.403
Cs 7.789 6.786 8.958
Sn -1.353 0.965 11.048
Sn 0.785 2.770 5.493
Sn 6.848 4.700 5.617
Sn 8.986 6.504 0.062
O -3.153 1.815 10.782
O -1.016 1.920 5.227
O 1.181 3.817 3.829
O -0.956 7.387 9.384
O 0.784 3.923 7.143
O 2.922 7.281 1.587
O 2.168 1.342 5.777
O 4.306 2.392 0.222
O 3.327 5.077 10.889
O 5.465 6.127 5.333
O 4.711 0.188 9.523
O 6.849 3.546 3.968
O 8.589 0.082 1.726
O 6.451 3.653 7.281
O 8.649 5.550 5.883
O 10.786 5.654 0.328
```

Its space group is No. 14. As for the crystal system: monoclinic.

=====

The structure with the least stability is run A.